Entry 1:
A plane-wave DFT calculation with PBE was carried out for crystalline BeV4Si2 at its relaxed geometry.

Output
For the spin magnetization, the calculation gives 0.00 μB/f.u. For the total energy, the calculation gives -7.0795 eV per atom. The value obtained for the formation energy from raw total energies is 0.21 eV per atom. The symmetry is I4/mmm.

Geometry as POSCAR:
```
BeV4Si2
1.0
-0.0600 3.8684 -0.3298
-3.8638 -0.0917 -0.3733
-2.5913 2.4228 6.0312
Be Si V
1 2 4
Direct
0.0000 0.0000 0.0000
0.3618 0.3618 0.2764
0.6382 0.6382 0.7236
0.1695 0.1695 0.6609
0.8305 0.8305 0.3391
0.0000 0.5000 0.0000
0.5000 0.0000 0.0000
```

***

Entry 2:
A plane-wave DFT calculation with PBE was carried out for crystalline NaScInTe3 at its relaxed geometry.

Output
For the spin magnetization, the calculation gives 0.00 μB/f.u. For the total energy, the calculation gives -4.1153 eV per atom. The value obtained for the formation energy from raw total energies is -0.81 eV per atom. The symmetry is P2_1/m.

Geometry as POSCAR:
```
NaScInTe3
1.0
-3.4380 2.0967 1.2424
-4.1193 -7.7549 1.6883
4.4125 1.8666 9.0603
Na Sc In Te
2 2 2 6
Direct
0.2500 0.1542 0.1793
0.7500 0.8458 0.8207
0.2500 0.6337 0.1560
0.7500 0.3663 0.8440
0.2500 0.1258 0.5596
0.7500 0.8742 0.4404
0.7500 0.8738 0.1574
0.2500 0.1262 0.8426
0.2500 0.6505 0.4488
0.7500 0.3495 0.5512
0.7500 0.4059 0.1381
0.2500 0.5941 0.8619
```

***

Entry 3:
A plane-wave DFT calculation with PBE was carried out for crystalline CaGaPb2 at its relaxed geometry.

Output
For the spin magnetization, the calculation gives 0.00 μB/f.u. The calculation puts the energy relative to the lowest polymorph listed for this composition at 172.8 meV per atom. For the total energy, the calculation gives -3.2116 eV per atom. The energy relative to the elements comes out at -100 meV/atom. The symmetry is I-42d.

Geometry as POSCAR:
```
CaGaPb2
1.0
-4.3327 -0.9032 1.8531
-1.7650 -0.6032 -4.4207
-0.6843 -11.1286 -0.8121
Pb Ca Ga
4 2 2
Direct
0.6553 0.1250 0.2500
0.0947 0.6250 0.2500
0.3750 0.3447 0.7500
0.8750 0.9053 0.7500
0.5000 0.5000 0.0000
0.2500 0.7500 0.5000
0.0000 0.0000 0.0000
0.7500 0.2500 0.5000
```